Entry 1:
This record from the Alexandria database describes Mn2CrHg after structural relaxation. The functional is PBE-GGA.

Properties
SG = F-43m, No. 216
crystal system = cubic

Unit cell a=4.506 b=4.506 c=4.506 alpha=60.00 beta=60.00 gamma=60.00
Last column: magnetic moment on the atom in μB.
Fractional positions:
Cr (0.500, 0.500, 0.500)  3.31
Hg (0.250, 0.250, 0.250)  0.00
Mn (0.000, 0.000, 0.000)  3.59
Mn (0.750, 0.750, 0.750)  -3.44


Entry 2:
This record from the Alexandria database describes MnCr2Hg after structural relaxation. The functional is PBE-GGA.

Properties
SG = C2/m, No. 12
crystal system = monoclinic

Unit cell a=4.692 b=4.692 c=4.764 alpha=80.54 beta=80.54 gamma=35.37
Last column: magnetic moment on the atom in μB.
Fractional positions:
Cr (0.004, 0.004, 0.921)  -0.20
Cr (0.496, 0.496, 0.579)  -0.20
Hg (0.250, 0.250, 0.250)  -0.02
Mn (0.750, 0.750, 0.750)  2.57


Entry 3:
This record from the Alexandria database describes Mn2CrHg after structural relaxation. The functional is PBE-GGA.

Properties
SG = P2/m, No. 10
crystal system = monoclinic

Unit cell a=3.921 b=3.975 c=5.544 alpha=44.09 beta=90.00 gamma=90.00
Last column: magnetic moment on the atom in μB.
Fractional positions:
Cr (0.500, 0.500, 0.500)  -3.15
Hg (0.000, 0.000, 0.500)  -0.05
Mn (0.000, 0.000, 0.000)  2.89
Mn (0.500, 0.500, 0.000)  2.88


Entry 4:
This record from the Alexandria database describes MnCrHg after structural relaxation. The functional is PBE-GGA.

Properties
SG = P3m1, No. 156
excess energy over the best structure of this formula in the dataset = 0.203 eV per atom
crystal system = trigonal

Unit cell a=2.984 b=2.984 c=6.384 alpha=90.00 beta=90.00 gamma=120.00
Last column: magnetic moment on the atom in μB.
Fractional positions:
Cr (0.000, 0.000, 0.960)  -2.39
Hg (0.667, 0.333, 0.336)  -0.01
Mn (0.333, 0.667, 0.705)  2.74


Calculated total DFT energy (no corrections) in order - -6.66, -6.65, -6.69, -5.91 eV/atom